# 1
VASP calculation (meta-GGA SCAN) on KCoO2 at its PBEsol-relaxed geometry.

- ΔE_f (raw): -1.353 eV per atom
- Magnetic moment: 4.00 μB/f.u.
- Uncorrected energy: -10.88 eV per atom
- D(E_F): 1.577 states/eV per cell

Cell and atoms, written as CIF:
```
data_KCoO2
_chemical_formula_sum 'K2 Co2 O4'
_symmetry_space_group_name_H-M 'P 1'
_symmetry_Int_Tables_number 1
_symmetry_space_group_name_Hall 'P 1'
_cell_length_a 6.343
_cell_length_b 6.343
_cell_length_c 7.169
_cell_angle_alpha 119.18
_cell_angle_beta 119.18
_cell_angle_gamma 28.95
loop_
_atom_site_label
_atom_site_fract_x
_atom_site_fract_y
_atom_site_fract_z
K1 0.190 0.190 0.221
K2 0.810 0.810 0.779
Co1 0.047 0.047 0.697
Co2 0.953 0.953 0.303
O1 0.121 0.121 0.522
O2 0.413 0.413 0.146
O3 0.587 0.587 0.854
O4 0.879 0.879 0.478
```

# 2
VASP calculation (meta-GGA SCAN) on K4Co7O14 at its PBEsol-relaxed geometry.

- ΔE_f (raw): -1.578 eV per atom
- Magnetic moment: 3.05 μB/f.u.
- Uncorrected energy: -11.25 eV per atom
- D(E_F): 18.850 states/eV per cell

Cell and atoms, written as CIF:
```
data_K4Co7O14
_chemical_formula_sum 'K8 Co14 O28'
_symmetry_space_group_name_H-M 'P 1'
_symmetry_Int_Tables_number 1
_symmetry_space_group_name_Hall 'P 1'
_cell_length_a 7.475
_cell_length_b 7.475
_cell_length_c 12.224
_cell_angle_alpha 90.00
_cell_angle_beta 90.00
_cell_angle_gamma 120.00
loop_
_atom_site_label
_atom_site_fract_x
_atom_site_fract_y
_atom_site_fract_z
K1 0.000 0.000 0.250
K2 0.000 0.000 0.750
K3 0.033 0.579 0.250
K4 0.421 0.454 0.250
K5 0.454 0.033 0.750
K6 0.546 0.967 0.250
K7 0.579 0.546 0.750
K8 0.967 0.421 0.750
Co1 0.000 0.000 0.000
Co2 0.000 0.000 0.500
Co3 0.143 0.429 0.002
Co4 0.143 0.429 0.498
Co5 0.286 0.857 0.002
Co6 0.286 0.857 0.498
Co7 0.429 0.286 0.502
Co8 0.429 0.286 0.998
Co9 0.571 0.714 0.002
Co10 0.571 0.714 0.498
Co11 0.714 0.143 0.502
Co12 0.714 0.143 0.998
Co13 0.857 0.571 0.502
Co14 0.857 0.571 0.998
O1 0.046 0.809 0.078
O2 0.046 0.809 0.422
O3 0.099 0.622 0.575
O4 0.099 0.622 0.925
O5 0.191 0.237 0.078
O6 0.191 0.237 0.422
O7 0.237 0.046 0.578
O8 0.237 0.046 0.922
O9 0.333 0.667 0.083
O10 0.333 0.667 0.417
O11 0.378 0.477 0.575
O12 0.378 0.477 0.925
O13 0.477 0.099 0.075
O14 0.477 0.099 0.425
O15 0.523 0.901 0.575
O16 0.523 0.901 0.925
O17 0.622 0.523 0.075
O18 0.622 0.523 0.425
O19 0.667 0.333 0.583
O20 0.667 0.333 0.917
O21 0.763 0.954 0.078
O22 0.763 0.954 0.422
O23 0.809 0.763 0.578
O24 0.809 0.763 0.922
O25 0.901 0.378 0.075
O26 0.901 0.378 0.425
O27 0.954 0.191 0.578
O28 0.954 0.191 0.922
```